# 1
A plane-wave DFT calculation with PBE was carried out for a geometry-optimized Fe2Co structure.

Geometry as POSCAR:
```
Fe2Co
1.0
3.8682 0.0000 0.0000
1.9341 3.3500 0.0000
1.9341 1.1167 3.1584
Co Fe
1 2
direct
0.0000 0.0000 0.0000 Co
0.2500 0.2500 0.2500 Fe
0.7500 0.7500 0.7500 Fe
```

- SG = No. 225
- E (eV per atom) = -7.5421
- magnetic moment (μB/f.u.) = 7.034

# 2
A plane-wave DFT calculation with PBE was carried out for a geometry-optimized Cs3SmU2O9 structure.

Geometry as POSCAR:
```
Cs3SmU2O9
1.0
6.2902 0.0000 0.0000
-3.1451 5.4474 0.0000
0.0000 0.0000 7.6995
O Cs Sm U
9 3 1 2
direct
0.8211 0.1789 0.6831 O
0.5000 0.5000 0.0000 O
0.1789 0.8211 0.3169 O
0.0000 0.5000 0.0000 O
0.1789 0.3578 0.3169 O
0.5000 0.0000 0.0000 O
0.8211 0.6422 0.6831 O
0.3578 0.1789 0.6831 O
0.6422 0.8211 0.3169 O
0.0000 0.0000 0.0000 Cs
0.6667 0.3333 0.3376 Cs
0.3333 0.6667 0.6624 Cs
0.0000 0.0000 0.5000 Sm
0.3333 0.6667 0.1632 U
0.6667 0.3333 0.8368 U
```

- energy relative to the elements, uncorrected (eV per atom) = -2.794
- SG = No. 164
- magnetic moment (μB/f.u.) = 0.000

# 3
A plane-wave DFT calculation with PBE was carried out for a geometry-optimized PmErTlGa structure.

Geometry as POSCAR:
```
PmErTlGa
1.0
-4.8258 1.6555 -1.3181
-3.0469 -2.9702 -3.1081
-4.2453 -2.4034 1.9917
Ga Tl Pm Er
1 1 1 1
direct
0.2500 0.2500 0.2500 Ga
0.7500 0.7500 0.7500 Tl
0.0000 0.0000 0.0000 Pm
0.5000 0.5000 0.5000 Er
```

- SG = No. 216
- magnetic moment (μB/f.u.) = 0.000
- energy above the lowest structure with this stoichiometry (eV per formula unit) = 0.13

# 4
A plane-wave DFT calculation with PBE was carried out for a geometry-optimized GaIr2C structure.

Geometry as POSCAR:
```
GaIr2C
1.0
4.4734 -0.0069 -0.0128
-1.0921 4.5765 0.0146
-0.8101 -0.5841 5.3209
C Ir Ga
2 4 2
direct
0.2461 0.4648 0.8989 C
0.4490 0.2683 0.8939 C
0.2353 0.8421 0.7390 Ir
0.6893 0.1020 0.1649 Ir
0.8048 0.2642 0.7032 Ir
0.1277 0.6506 0.2050 Ir
0.2516 0.1925 0.3731 Ga
0.6697 0.7102 0.4877 Ga
```

- SG = No. 1
- magnetic moment (μB/f.u.) = 0.000
- energy above the lowest structure with this stoichiometry (eV per formula unit) = 0.53

# 5
A plane-wave DFT calculation with PBE was carried out for a geometry-optimized CaInNi structure.

Geometry as POSCAR:
```
CaInNi
1.0
-4.1396 0.9448 -2.3118
-4.1779 0.0173 2.4329
-2.3165 4.1682 0.7962
Ni In Ca
1 1 1
direct
0.5000 0.5000 0.5000 Ni
0.0000 0.0000 0.0000 In
0.7500 0.7500 0.7500 Ca
```

- SG = No. 216
- E (eV per atom) = -3.0207
- magnetic moment (μB/f.u.) = 0.000

# 6
A plane-wave DFT calculation with PBE was carried out for a geometry-optimized CrCo2BAu structure.

Geometry as POSCAR:
```
CrCo2BAu
1.0
-4.1437 -2.0875 0.3688
-0.3089 -0.2066 -4.6396
2.1166 -4.1933 0.0458
Au Co B Cr
1 2 1 1
direct
0.0000 0.0000 0.0000 Au
0.5000 0.0000 0.0000 Co
0.0000 0.5000 0.0000 Co
0.5000 0.5000 0.5000 B
0.0000 0.0000 0.5000 Cr
```

- SG = No. 123
- E (eV per atom) = -4.2416
- magnetic moment (μB/f.u.) = 3.730

# 7
A plane-wave DFT calculation with PBE was carried out for a geometry-optimized V2Te7Mo2 structure.

Geometry as POSCAR:
```
V2Te7Mo2
1.0
6.4973 0.0243 0.0351
-0.7043 7.1444 -0.5117
-0.7043 -2.9880 6.5097
Mo Te V
2 7 2
direct
0.8376 0.3958 0.3958 Mo
0.1624 0.6042 0.6042 Mo
0.2329 0.9390 0.5232 Te
0.0000 0.0000 0.0000 Te
0.7671 0.0610 0.4768 Te
0.2329 0.5232 0.9390 Te
0.7671 0.4768 0.0610 Te
0.3481 0.3040 0.3040 Te
0.6519 0.6960 0.6960 Te
0.5000 0.3211 0.6789 V
0.5000 0.6789 0.3211 V
```

- energy relative to the elements, uncorrected (eV per atom) = 0.028
- SG = No. 12
- magnetic moment (μB/f.u.) = 2.830

# 8
A plane-wave DFT calculation with PBE was carried out for a geometry-optimized HfSe3Cl structure.

Geometry as POSCAR:
```
HfSe3Cl
1.0
-3.7601 -1.7410 2.5442
-1.9838 -1.7052 -4.0987
2.3598 -4.2076 0.6083
Se Hf Cl
3 1 1
direct
0.5000 0.0000 0.0000 Se
0.0000 0.0000 0.5000 Se
0.0000 0.5000 0.0000 Se
0.5000 0.5000 0.5000 Hf
0.0000 0.0000 0.0000 Cl
```

- energy relative to the elements, uncorrected (eV per atom) = 0.676
- SG = No. 221
- magnetic moment (μB/f.u.) = 0.216
- energy above the lowest structure with this stoichiometry (eV per formula unit) = 4.79

# 9
A plane-wave DFT calculation with PBE was carried out for a geometry-optimized LaSi3Pd2 structure.

Geometry as POSCAR:
```
LaSi3Pd2
1.0
0.1743 -3.8767 -1.6649
1.0586 -1.5729 3.7731
-12.7138 1.0273 1.6323
Si Pd La
6 4 2
direct
0.0468 0.5468 0.0936 Si
0.9532 0.4532 0.9064 Si
0.5468 0.0468 0.0936 Si
0.6965 0.6965 0.3930 Si
0.3035 0.3035 0.6070 Si
0.4532 0.9532 0.9064 Si
0.5957 0.5957 0.1913 Pd
0.2500 0.7500 0.5000 Pd
0.4043 0.4043 0.8087 Pd
0.7500 0.2500 0.5000 Pd
0.8526 0.8526 0.7052 La
0.1474 0.1474 0.2948 La
```

- energy relative to the elements, uncorrected (eV per atom) = -0.705
- SG = No. 139
- magnetic moment (μB/f.u.) = 0.000

# 10
A plane-wave DFT calculation with PBE was carried out for a geometry-optimized OsPdN2O structure.

Geometry as POSCAR:
```
OsPdN2O
1.0
-0.6451 -0.7399 3.8019
2.7462 -2.8054 -0.0800
2.6994 2.6148 0.9669
N O Pd Os
2 1 1 1
direct
0.0000 0.5000 0.0000 N
0.5000 0.0000 0.0000 N
0.0000 0.0000 0.5000 O
0.0000 0.0000 0.0000 Pd
0.5000 0.5000 0.5000 Os
```

- energy relative to the elements, uncorrected (eV per atom) = 2.073
- SG = No. 123
- magnetic moment (μB/f.u.) = 2.478

# 11
A plane-wave DFT calculation with PBE was carried out for a geometry-optimized B2RhF structure.

Geometry as POSCAR:
```
B2RhF
1.0
0.0000 2.6996 2.6996
2.6996 0.0000 2.6996
2.6996 2.6996 0.0000
B Rh F
2 1 1
direct
0.7500 0.7500 0.7500 B
0.2500 0.2500 0.2500 B
0.5000 0.5000 0.5000 Rh
0.0000 0.0000 0.0000 F
```

- energy relative to the elements, uncorrected (eV per atom) = 0.924
- SG = No. 225
- magnetic moment (μB/f.u.) = 0.000
- energy above the lowest structure with this stoichiometry (eV per formula unit) = 2.65

# 12
A plane-wave DFT calculation with PBE was carried out for a geometry-optimized Dy2AlTc structure.

Geometry as POSCAR:
```
Dy2AlTc
1.0
3.5572 0.0000 0.0000
0.0000 3.5572 0.0000
0.0000 0.0000 6.9393
Dy Al Tc
2 1 1
direct
0.0000 0.0000 0.2301 Dy
0.0000 0.0000 0.7699 Dy
0.5000 0.5000 0.5000 Al
0.5000 0.5000 0.0000 Tc
```

- SG = No. 123
- E (eV per atom) = -6.0055
- magnetic moment (μB/f.u.) = 0.000